First-principles (PBE) data for a relaxed TiHOs2 crystal, as listed in the Alexandria database.

Structure (CIF):
```
data_TiHOs2
_cell_length_a 4.165
_cell_length_b 4.165
_cell_length_c 4.165
_cell_angle_alpha 60.00
_cell_angle_beta 60.00
_cell_angle_gamma 60.00
_symmetry_space_group_name_H-M 'P 1'
_symmetry_Int_Tables_number 1
loop_
_symmetry_equiv_pos_as_xyz
'x,y,z'
loop_
_atom_site_label
_atom_site_fract_x
_atom_site_fract_y
_atom_site_fract_z
Ti1 0.000 0.000 0.000
H1 0.500 0.500 0.500
Os1 0.250 0.250 0.250
Os2 0.750 0.750 0.750
```

Output
Magnetization   0.000 μB/f.u.
E_tot   -31.24 eV/cell
V   12.8 A^3/atom
Space-group type   Fm-3m (225)